i.
CaHN, optimized geometry, DFT GGA-PBEsol; crystal system = tetragonal; ρ = 2.65 g/cm3
1.0
-1.749 1.749 2.818
1.749 -1.749 2.818
1.749 1.749 -2.818
Ca H N
1 1 1
Cartesian
0.000 0.000 0.000
0.000 0.000 2.318
0.000 0.000 3.358



ii.
CaHN, optimized geometry, DFT GGA-PBEsol; crystal system = orthorhombic; ρ = 2.53 g/cm3
1.0
5.030 0.000 0.000
0.000 4.788 0.000
0.000 0.000 6.003
Ca H N
4 4 4
Cartesian
1.232 1.197 0.399
1.283 3.591 3.400
3.747 1.197 2.603
3.798 3.591 5.605
1.102 1.197 3.715
1.413 3.591 0.714
3.617 1.197 5.289
3.928 3.591 2.288
1.246 1.197 2.680
1.269 3.591 5.682
3.762 1.197 0.321
3.784 3.591 3.323



It is ii that is the most stable of them.



i.
NaCaH3, optimized geometry, DFT GGA-PBEsol; crystal system = triclinic; ρ = 1.59 g/cm3
1.0
3.527 0.000 0.000
-0.045 6.708 0.000
-1.735 -3.298 5.825
Na Ca H
2 2 6
Cartesian
-0.043 1.043 1.457
1.790 2.366 4.367
0.017 -0.689 4.140
1.730 4.098 1.685
-0.033 5.506 1.851
-0.030 2.968 2.642
0.028 1.309 5.327
1.719 2.100 0.497
1.777 0.442 3.183
1.779 -2.096 3.974



ii.
NaCaH3, optimized geometry, DFT GGA-PBEsol; crystal system = trigonal; ρ = 1.55 g/cm3
1.0
2.888 1.668 4.910
-2.888 1.668 4.910
0.000 -3.335 4.910
Na Ca H
2 2 6
Cartesian
0.000 0.000 0.000
0.000 0.000 7.365
0.000 0.000 4.078
0.000 0.000 11.443
-0.857 -1.403 5.652
-2.102 -0.224 8.107
-0.786 1.443 5.652
1.245 -1.708 8.107
1.643 -0.041 5.652
0.857 1.932 8.107



It is i that is the most stable of them.



i.
CaPHO4, optimized geometry, DFT GGA-PBEsol; crystal system = monoclinic; ρ = 2.81 g/cm3
1.0
9.909 0.000 0.000
0.000 6.693 0.000
-5.611 0.000 9.687
Ca P H O
8 8 8 32
Cartesian
-0.898 0.094 2.397
-3.703 3.252 7.240
2.622 1.433 0.599
-0.183 1.913 5.443
4.482 4.780 4.244
1.676 5.259 9.088
8.002 3.441 2.446
5.197 6.598 7.290
0.738 5.007 0.584
-2.067 5.032 5.428
1.610 3.384 2.931
-1.195 6.656 7.774
5.494 0.037 1.913
2.688 3.309 6.756
6.366 1.661 4.259
3.561 1.686 9.103
1.595 0.893 3.538
-1.210 2.454 8.382
-1.441 3.975 8.851
1.365 6.064 4.008
2.934 0.629 5.679
5.739 2.717 0.836
5.509 4.239 1.305
2.704 5.800 6.149
-2.050 1.504 3.870
-4.855 1.843 8.713
-4.607 4.802 8.791
-1.801 5.238 3.947
-1.605 3.689 5.984
1.200 6.350 1.141
-2.620 0.245 8.249
0.185 3.101 3.406
1.531 3.805 1.327
-1.275 6.234 6.170
0.917 0.268 3.977
-1.888 3.078 8.820
-0.385 1.253 7.657
2.420 2.094 2.813
2.266 4.528 3.678
-0.539 5.511 8.521
4.838 1.182 1.165
2.032 2.165 6.009
1.879 4.599 6.874
4.684 5.440 2.030
6.187 3.615 0.867
3.381 6.424 5.710
5.573 0.459 3.517
2.768 2.887 8.360
4.114 3.592 6.281
6.919 6.448 1.438
3.098 0.343 8.546
5.904 3.003 3.703
6.100 1.455 5.740
8.905 1.891 0.896
9.154 4.850 0.974
6.348 5.189 5.817



ii.
CaPHO4, optimized geometry, DFT GGA-PBEsol; crystal system = triclinic; ρ = 2.95 g/cm3
1.0
6.624 0.000 0.000
0.215 6.869 0.000
0.811 1.711 6.729
Ca P H O
4 4 4 16
Cartesian
0.000 0.000 0.000
1.317 3.711 3.643
3.276 7.156 4.073
5.663 5.363 6.325
2.105 5.107 6.639
3.383 0.115 0.368
4.475 3.574 3.196
6.837 7.201 3.683
2.255 2.014 1.474
4.142 5.339 1.882
5.295 3.110 5.331
5.731 1.766 2.122
0.387 4.617 0.077
0.844 1.469 4.317
1.224 3.977 6.034
1.117 5.983 3.498
1.735 2.957 1.381
3.266 8.344 6.167
3.356 5.374 5.803
2.877 0.759 1.668
3.393 2.653 3.727
3.816 4.968 2.895
4.481 5.744 0.713
5.239 2.815 6.433
5.163 3.068 1.915
5.580 6.922 4.510
5.583 3.767 4.285
6.193 0.805 2.215



It is ii that is the most stable of them.



i.
CaHPd3, optimized geometry, DFT GGA-PBEsol; crystal system = hexagonal; ρ = 8.54 g/cm3
1.0
5.853 0.000 0.000
-2.926 5.069 0.000
0.000 0.000 4.727
Ca H Pd
2 2 6
Cartesian
0.000 3.379 1.182
2.926 1.690 3.545
0.000 3.379 3.545
2.926 1.690 1.182
0.000 1.578 3.545
-1.560 4.280 3.545
1.366 0.789 1.182
1.560 4.280 3.545
4.486 0.789 1.182
2.926 3.491 1.182



ii.
CaHPd3, optimized geometry, DFT GGA-PBEsol; crystal system = cubic; ρ = 8.78 g/cm3
1.0
4.084 0.000 0.000
0.000 4.084 0.000
0.000 0.000 4.084
Ca H Pd
1 1 3
Cartesian
0.000 0.000 0.000
2.042 2.042 2.042
0.000 2.042 2.042
2.042 0.000 2.042
2.042 2.042 0.000



It is i that is the most stable of them.



i.
Ca5Hg, optimized geometry, DFT GGA-PBEsol; crystal system = monoclinic; ρ = 3.13 g/cm3
1.0
6.528 -1.909 0.000
6.528 1.909 0.000
-3.522 0.000 8.543
Ca Hg
5 1
Cartesian
0.000 0.000 0.000
3.562 0.000 1.798
2.582 0.000 5.406
6.952 0.000 3.137
5.973 0.000 6.745
-1.761 0.000 4.272



ii.
Ca5Hg, optimized geometry, DFT GGA-PBEsol; crystal system = hexagonal; ρ = 3.27 g/cm3
1.0
6.345 0.000 0.000
-3.173 5.495 0.000
0.000 0.000 5.838
Ca Hg
5 1
Cartesian
-0.993 1.720 0.000
1.986 0.000 0.000
0.000 3.664 2.919
3.173 1.832 2.919
2.180 3.776 0.000
0.000 0.000 2.919



iii.
Ca5Hg, optimized geometry, DFT GGA-PBEsol; crystal system = tetragonal; ρ = 3.15 g/cm3
1.0
3.830 0.000 0.000
0.000 3.830 0.000
0.000 0.000 14.418
Ca Hg
5 1
Cartesian
0.000 0.000 0.000
0.000 0.000 5.474
0.000 0.000 8.943
1.915 1.915 2.716
1.915 1.915 11.701
1.915 1.915 7.209



iv.
Ca5Hg, optimized geometry, DFT GGA-PBEsol; crystal system = orthorhombic; ρ = 3.27 g/cm3
1.0
2.302 -7.909 0.000
2.302 7.909 0.000
0.000 0.000 5.588
Ca Hg
5 1
Cartesian
0.000 0.000 0.000
2.302 5.612 2.794
2.302 2.605 0.000
2.302 -2.605 0.000
2.302 -5.612 2.794
2.302 0.000 2.794



It is iii that is the most stable of them.



i.
CaHg2I2, optimized geometry, DFT GGA-PBEsol; crystal system = tetragonal; ρ = 5.96 g/cm3
1.0
8.014 0.000 0.000
0.000 8.014 0.000
0.000 0.000 6.035
Ca Hg I
2 4 4
Cartesian
0.000 0.000 0.000
4.007 4.007 0.000
1.086 2.921 3.017
2.921 6.928 3.017
5.093 1.086 3.017
6.928 5.093 3.017
1.341 5.348 0.000
2.666 1.341 0.000
5.348 6.673 0.000
6.673 2.666 0.000



ii.
CaHg2I2, optimized geometry, DFT GGA-PBEsol; crystal system = tetragonal; ρ = 7.02 g/cm3
1.0
-2.010 2.010 10.174
2.010 -2.010 10.174
2.010 2.010 -10.174
Ca Hg I
1 2 2
Cartesian
0.000 0.000 0.000
2.010 0.000 5.087
0.000 2.010 5.087
0.000 0.000 8.359
0.000 0.000 11.990



It is ii that is the most stable of them.



i.
Li2CaHg2, optimized geometry, DFT GGA-PBEsol; crystal system = tetragonal; ρ = 6.81 g/cm3
1.0
-2.052 2.052 6.589
2.052 -2.052 6.589
2.052 2.052 -6.589
Li Ca Hg
2 1 2
Cartesian
2.052 0.000 3.295
0.000 2.052 3.295
0.000 0.000 0.000
0.000 0.000 5.125
0.000 0.000 8.054



ii.
Li2CaHg2, optimized geometry, DFT GGA-PBEsol; crystal system = tetragonal; ρ = 6.91 g/cm3
1.0
7.949 0.000 0.000
0.000 7.949 0.000
0.000 0.000 3.462
Li Ca Hg
4 2 4
Cartesian
1.238 2.737 0.000
2.737 6.712 0.000
5.212 1.238 0.000
6.712 5.212 0.000
0.000 0.000 1.731
3.975 3.975 1.731
1.077 5.052 1.731
2.898 1.077 1.731
5.052 6.872 1.731
6.872 2.898 1.731



It is i that is the most stable of them.



i.
CaHg2Mo, optimized geometry, DFT GGA-PBEsol; crystal system = tetragonal; ρ = 11.17 g/cm3
1.0
3.040 0.000 0.000
0.000 3.040 0.000
0.000 0.000 8.641
Ca Hg Mo
1 2 1
Cartesian
0.000 0.000 0.000
1.520 1.520 2.318
1.520 1.520 6.323
0.000 0.000 4.321



ii.
CaHg2Mo, optimized geometry, DFT GGA-PBEsol; crystal system = orthorhombic; ρ = 11.19 g/cm3
1.0
3.177 0.000 0.000
0.000 5.009 0.000
0.000 0.000 5.009
Ca Hg Mo
1 2 1
Cartesian
0.000 0.000 0.000
1.588 0.000 2.508
1.588 2.504 0.027
0.000 2.504 2.525



It is i that is the most stable of them.